1.
Density functional theory data (PBE) for a relaxed LiCuSeBr2 crystal.

Unit cell a=5.242 b=5.242 c=4.724 alpha=90.00 beta=90.00 gamma=90.00
Site moments in Bohr magnetons follow the coordinates.
Fractional positions:
Br (0.000, 0.500, 0.000)  0.11
Li (0.500, 0.500, 0.500)  0.00
Se (0.000, 0.000, 0.500)  0.47
Br (0.500, 0.000, 0.000)  0.11
Cu (0.000, 0.000, 0.000)  0.12

Summary:
Fermi-level density of states: 4.25 states/eV/f.u.
Energy relative to the elements, uncorrected: -269 meV/atom
Volume: 25.96 Å³/atom
Mass density: 3.96 g/cm³

=====

2.
Density functional theory data (PBE) for a relaxed LiCuSn2Br crystal.

Unit cell a=5.190 b=4.699 c=5.190 alpha=90.00 beta=90.00 gamma=90.00
Fractional positions:
Li (0.000, 0.000, 0.000)
Sn (0.000, 0.000, 0.500)
Cu (0.500, 0.500, 0.500)
Br (0.000, 0.500, 0.000)
Sn (0.500, 0.000, 0.000)

Summary:
Fermi-level density of states: 2.44 states/eV/f.u.
Energy relative to the elements, uncorrected: 335 meV/atom
Volume: 25.32 Å³/atom
Mass density: 5.09 g/cm³

=====

3.
Density functional theory data (PBE) for a relaxed LiCuSnBr2 crystal.

Unit cell a=4.725 b=5.880 c=4.725 alpha=90.00 beta=90.00 gamma=90.00
Fractional positions:
Br (0.500, 0.000, 0.000)
Cu (0.500, 0.500, 0.500)
Sn (0.000, 0.500, 0.000)
Li (0.000, 0.000, 0.000)
Br (0.000, 0.000, 0.500)

Summary:
Fermi-level density of states: 1.18 states/eV/f.u.
Energy relative to the elements, uncorrected: 69 meV/atom
Volume: 26.25 Å³/atom
Mass density: 4.41 g/cm³

=====

4.
Density functional theory data (PBE) for a relaxed LiTi2CuBr crystal.

Unit cell a=4.646 b=5.505 c=4.646 alpha=90.00 beta=90.00 gamma=90.00
Fractional positions:
Li (0.500, 0.500, 0.500)
Ti (0.500, 0.000, 0.000)
Br (0.000, 0.500, 0.000)
Cu (0.000, 0.000, 0.000)
Ti (0.000, 0.000, 0.500)

Summary:
Fermi-level density of states: 5.03 states/eV/f.u.
Energy relative to the elements, uncorrected: 784 meV/atom
Volume: 23.77 Å³/atom
Mass density: 3.44 g/cm³

=====

5.
Density functional theory data (PBE) for a relaxed LiTl2Cu2Br6 crystal.

Unit cell a=7.299 b=7.699 c=8.102 alpha=115.58 beta=90.00 gamma=118.29
Site moments in Bohr magnetons follow the coordinates.
Fractional positions:
Br (0.316, 0.121, 0.785)  0.07
Cu (0.057, 0.114, 0.266)  0.28
Br (0.194, 0.879, 0.215)  0.07
Br (0.751, 0.503, 0.634)  0.05
Br (0.684, 0.879, 0.215)  0.07
Br (0.806, 0.121, 0.785)  0.07
Tl (0.720, 0.441, 0.197)  0.00
Cu (0.943, 0.886, 0.734)  0.28
Br (0.249, 0.497, 0.366)  0.05
Tl (0.280, 0.559, 0.803)  0.00
Li (0.500, 0.000, 0.500)  0.00

Summary:
Fermi-level density of states: 5.39 states/eV/f.u.
Energy relative to the elements, uncorrected: -685 meV/atom
Volume: 31.76 Å³/atom
Mass density: 4.86 g/cm³

=====

6.
Density functional theory data (PBE) for a relaxed LiTl2CuBr5 crystal.

Unit cell a=4.057 b=10.278 c=13.390 alpha=90.00 beta=90.00 gamma=101.38
Site moments in Bohr magnetons follow the coordinates.
Fractional positions:
Cu (0.564, 0.128, 0.937)  0.35
Br (0.495, 0.990, 0.280)  0.08
Cu (0.436, 0.872, 0.437)  0.35
Br (0.659, 0.318, 0.501)  0.01
Li (0.212, 0.425, 0.027)  0.00
Tl (0.875, 0.749, 0.814)  0.01
Br (0.505, 0.010, 0.780)  0.08
Br (0.341, 0.682, 0.001)  0.01
Br (0.319, 0.638, 0.387)  0.06
Tl (0.125, 0.251, 0.314)  0.01
Tl (0.134, 0.268, 0.685)  0.00
Li (0.788, 0.575, 0.527)  0.00
Br (0.705, 0.409, 0.161)  0.01
Br (0.295, 0.591, 0.661)  0.01
Br (0.681, 0.362, 0.887)  0.06
Br (0.958, 0.916, 0.531)  0.12
Tl (0.866, 0.732, 0.185)  0.00
Br (0.042, 0.084, 0.031)  0.12

Summary:
Fermi-level density of states: 7.97 states/eV/f.u.
Energy relative to the elements, uncorrected: -790 meV/atom
Volume: 30.41 Å³/atom
Mass density: 5.33 g/cm³

=====

7.
Density functional theory data (PBE) for a relaxed LiTl3Cu2Br9 crystal.

Unit cell a=7.344 b=7.344 c=9.027 alpha=90.00 beta=90.00 gamma=120.00
Fractional positions:
Tl (0.667, 0.333, 0.351)
Tl (0.000, 0.000, 0.000)
Br (0.500, 0.000, 0.000)
Cu (0.667, 0.333, 0.834)
Br (0.000, 0.500, 0.000)
Cu (0.333, 0.667, 0.166)
Br (0.661, 0.830, 0.322)
Br (0.500, 0.500, 0.000)
Br (0.830, 0.170, 0.678)
Br (0.170, 0.830, 0.322)
Br (0.830, 0.661, 0.678)
Li (0.000, 0.000, 0.500)
Tl (0.333, 0.667, 0.649)
Br (0.170, 0.339, 0.322)
Br (0.339, 0.170, 0.678)

Summary:
Fermi-level density of states: 11.36 states/eV/f.u.
Energy relative to the elements, uncorrected: -593 meV/atom
Volume: 28.11 Å³/atom
Mass density: 5.77 g/cm³

=====

8.
Density functional theory data (PBE) for a relaxed Li2TlCuBr6 crystal.

Unit cell a=6.898 b=6.909 c=7.482 alpha=62.64 beta=62.47 gamma=59.83
Fractional positions:
Tl (0.821, 0.821, 0.537)
Br (0.115, 0.409, 0.764)
Li (0.009, 0.009, 0.973)
Br (0.408, 0.714, 0.763)
Cu (0.321, 0.320, 0.037)
Br (0.589, 0.239, 0.240)
Br (0.932, 0.589, 0.239)
Br (0.713, 0.115, 0.764)
Li (0.515, 0.514, 0.457)
Br (0.239, 0.931, 0.240)

Summary:
Fermi-level density of states: 6.96 states/eV/f.u.
Energy relative to the elements, uncorrected: -821 meV/atom
Volume: 26.11 Å³/atom
Mass density: 4.84 g/cm³

=====

9.
Density functional theory data (PBE) for a relaxed Li2TlCuBr4 crystal.

Unit cell a=6.756 b=6.756 c=6.960 alpha=119.07 beta=119.07 gamma=89.94
Site moments in Bohr magnetons follow the coordinates.
Fractional positions:
Br (0.450, 0.855, 0.304)  0.01
Li (0.750, 0.250, 0.500)  0.00
Li (0.250, 0.750, 0.500)  0.00
Cu (0.500, 0.500, 0.999)  0.13
Br (0.551, 0.551, 0.696)  0.01
Tl (0.000, 0.000, 0.000)  0.00
Br (0.855, 0.450, 0.304)  0.01
Br (0.145, 0.145, 0.696)  0.01

Summary:
Fermi-level density of states: 0.00 states/eV/f.u.
Energy relative to the elements, uncorrected: -1003 meV/atom
Volume: 28.86 Å³/atom
Mass density: 4.33 g/cm³

=====

10.
Density functional theory data (PBE) for a relaxed LiTl2CuBr4 crystal.

Unit cell a=6.799 b=9.413 c=8.607 alpha=90.00 beta=90.00 gamma=90.00
Site moments in Bohr magnetons follow the coordinates.
Fractional positions:
Br (0.425, 0.721, 0.749)  0.01
Br (0.867, 0.880, 0.500)  0.01
Br (0.925, 0.279, 0.751)  0.01
Cu (0.003, 0.159, 0.000)  0.12
Br (0.367, 0.120, 0.000)  0.01
Br (0.925, 0.279, 0.249)  0.01
Li (0.502, 0.867, 0.000)  0.00
Cu (0.503, 0.841, 0.500)  0.12
Br (0.373, 0.090, 0.500)  0.00
Br (0.425, 0.721, 0.251)  0.01
Br (0.873, 0.910, 0.000)  0.00
Tl (0.453, 0.334, 0.738)  0.00
Tl (0.953, 0.666, 0.238)  0.00
Li (0.002, 0.133, 0.500)  0.00
Tl (0.953, 0.666, 0.762)  0.00
Tl (0.453, 0.334, 0.262)  0.00

Summary:
Fermi-level density of states: 0.00 states/eV/f.u.
Energy relative to the elements, uncorrected: -830 meV/atom
Volume: 34.43 Å³/atom
Mass density: 4.82 g/cm³

=====

11.
Density functional theory data (PBE) for a relaxed LiTl3Cu2Br6 crystal.

Unit cell a=7.789 b=7.789 c=8.534 alpha=90.00 beta=90.00 gamma=120.00
Fractional positions:
Tl (0.000, 0.000, 0.000)
Br (0.682, 0.841, 0.299)
Br (0.159, 0.318, 0.299)
Br (0.159, 0.841, 0.299)
Tl (0.333, 0.667, 0.637)
Cu (0.333, 0.667, 0.305)
Cu (0.667, 0.333, 0.695)
Br (0.841, 0.159, 0.701)
Br (0.318, 0.159, 0.701)
Tl (0.667, 0.333, 0.363)
Li (0.000, 0.000, 0.500)
Br (0.841, 0.682, 0.701)

Summary:
Fermi-level density of states: 0.00 states/eV/f.u.
Energy relative to the elements, uncorrected: -704 meV/atom
Volume: 37.37 Å³/atom
Mass density: 4.54 g/cm³

=====

12.
Density functional theory data (PBE) for a relaxed MgCu3Br crystal.

Unit cell a=4.756 b=4.756 c=4.756 alpha=90.00 beta=90.00 gamma=90.00
Fractional positions:
Br (0.000, 0.000, 0.000)
Cu (0.000, 0.500, 0.000)
Cu (0.500, 0.000, 0.000)
Mg (0.500, 0.500, 0.500)
Cu (0.000, 0.000, 0.500)

Summary:
Fermi-level density of states: 1.37 states/eV/f.u.
Energy relative to the elements, uncorrected: 830 meV/atom
Volume: 21.52 Å³/atom
Mass density: 4.55 g/cm³

=====

13.
Density functional theory data (PBE) for a relaxed MgCuBr4 crystal.

Unit cell a=3.838 b=7.819 c=6.515 alpha=114.85 beta=90.00 gamma=104.21
Site moments in Bohr magnetons follow the coordinates.
Fractional positions:
Br (0.108, 0.217, 0.446)  0.14
Br (0.892, 0.783, 0.554)  0.14
Cu (0.500, 0.000, 0.500)  0.47
Br (0.391, 0.782, 0.069)  0.09
Br (0.609, 0.218, 0.931)  0.09
Mg (0.000, 0.000, 0.000)  0.00

Summary:
Fermi-level density of states: 4.03 states/eV/f.u.
Energy relative to the elements, uncorrected: -841 meV/atom
Volume: 28.46 Å³/atom
Mass density: 3.96 g/cm³

=====

14.
Density functional theory data (PBE) for a relaxed MgCu2Br6 crystal.

Unit cell a=6.902 b=8.702 c=8.702 alpha=83.77 beta=81.30 gamma=81.30
Site moments in Bohr magnetons follow the coordinates.
Fractional positions:
Br (0.378, 0.039, 0.191)  0.06
Cu (0.819, 0.391, 0.231)  0.34
Mg (0.250, 0.101, 0.899)  0.00
Br (0.623, 0.284, 0.454)  0.17
Br (0.377, 0.716, 0.546)  0.17
Br (0.122, 0.809, 0.961)  0.06
Cu (0.319, 0.231, 0.391)  0.34
Br (0.123, 0.454, 0.284)  0.17
Br (0.869, 0.873, 0.377)  0.11
Br (0.877, 0.546, 0.716)  0.17
Cu (0.181, 0.609, 0.769)  0.34
Br (0.369, 0.377, 0.873)  0.11
Br (0.631, 0.623, 0.127)  0.11
Br (0.622, 0.961, 0.809)  0.06
Br (0.878, 0.191, 0.039)  0.06
Br (0.131, 0.127, 0.623)  0.11
Mg (0.750, 0.899, 0.101)  0.00
Cu (0.681, 0.769, 0.609)  0.34

Summary:
Fermi-level density of states: 10.50 states/eV/f.u.
Energy relative to the elements, uncorrected: -603 meV/atom
Volume: 28.26 Å³/atom
Mass density: 4.12 g/cm³

=====

15.
Density functional theory data (PBE) for a relaxed MgCu3Br crystal.

Unit cell a=4.783 b=4.783 c=4.783 alpha=90.00 beta=90.00 gamma=90.00
Fractional positions:
Cu (0.000, 0.500, 0.000)
Mg (0.000, 0.000, 0.000)
Br (0.500, 0.500, 0.500)
Cu (0.500, 0.000, 0.000)
Cu (0.000, 0.000, 0.500)

Summary:
Fermi-level density of states: 2.59 states/eV/f.u.
Energy relative to the elements, uncorrected: 917 meV/atom
Volume: 21.89 Å³/atom
Mass density: 4.47 g/cm³

=====

16.
Density functional theory data (PBE) for a relaxed MgCu2Br4 crystal.

Unit cell a=5.770 b=5.770 c=5.693 alpha=90.00 beta=90.00 gamma=90.00
Fractional positions:
Br (0.744, 0.744, 0.253)
Br (0.256, 0.256, 0.253)
Cu (0.500, 0.000, 0.500)
Br (0.256, 0.744, 0.747)
Cu (0.000, 0.500, 0.500)
Br (0.744, 0.256, 0.747)
Mg (0.000, 0.000, 0.000)

Summary:
Energy relative to the elements, uncorrected: -738 meV/atom
Volume: 27.08 Å³/atom
Mass density: 4.13 g/cm³

=====

17.
Density functional theory data (PBE) for a relaxed MgCuBr4 crystal.

Unit cell a=7.206 b=7.206 c=8.932 alpha=90.00 beta=90.00 gamma=90.00
Site moments in Bohr magnetons follow the coordinates.
Fractional positions:
Br (0.761, 0.760, 0.000)  0.05
Cu (0.000, 0.000, 0.500)  0.20
Br (0.239, 0.760, 0.000)  0.05
Cu (0.000, 0.000, 0.000)  0.20
Br (0.760, 0.761, 0.500)  0.05
Mg (0.000, 0.500, 0.000)  0.00
Br (0.760, 0.239, 0.500)  0.05
Br (0.240, 0.761, 0.500)  0.05
Mg (0.500, 0.000, 0.500)  0.00
Br (0.240, 0.239, 0.500)  0.05
Br (0.761, 0.240, 0.000)  0.05
Br (0.239, 0.240, 0.000)  0.05

Summary:
Fermi-level density of states: 2.71 states/eV/f.u.
Energy relative to the elements, uncorrected: -771 meV/atom
Volume: 38.65 Å³/atom
Mass density: 2.92 g/cm³

=====

18.
Density functional theory data (PBE) for a relaxed MgCuBr4 crystal.

Unit cell a=6.293 b=6.293 c=6.293 alpha=60.00 beta=60.00 gamma=60.00
Site moments in Bohr magnetons follow the coordinates.
Fractional positions:
Mg (0.000, 0.000, 0.000)  0.00
Br (0.375, 0.375, 0.875)  0.28
Br (0.375, 0.875, 0.375)  0.28
Cu (0.750, 0.750, 0.750)  0.00
Br (0.875, 0.375, 0.375)  0.28
Br (0.375, 0.375, 0.375)  0.28

Summary:
Fermi-level density of states: 6.89 states/eV/f.u.
Energy relative to the elements, uncorrected: 627 meV/atom
Volume: 29.37 Å³/atom
Mass density: 3.84 g/cm³

=====

19.
Density functional theory data (PBE) for a relaxed MgCuMoBr2 crystal.

Unit cell a=4.884 b=6.976 c=4.884 alpha=90.00 beta=90.00 gamma=90.00
Site moments in Bohr magnetons follow the coordinates.
Fractional positions:
Br (0.000, 0.000, 0.500)  0.03
Cu (0.500, 0.500, 0.500)  -0.04
Mo (0.000, 0.500, 0.000)  3.90
Mg (0.000, 0.000, 0.000)  0.01
Br (0.500, 0.000, 0.000)  0.03

Summary:
Fermi-level density of states: 0.54 states/eV/f.u.
Energy relative to the elements, uncorrected: 838 meV/atom
Volume: 33.28 Å³/atom
Mass density: 3.43 g/cm³

=====

20.
Density functional theory data (PBE) for a relaxed NaMgCu2Br6 crystal.

Unit cell a=6.991 b=8.920 c=8.920 alpha=88.09 beta=83.24 gamma=83.24
Site moments in Bohr magnetons follow the coordinates.
Fractional positions:
Mg (0.750, 0.732, 0.268)  0.00
Cu (0.298, 0.406, 0.231)  0.30
Mg (0.250, 0.268, 0.732)  0.00
Br (0.358, 0.225, 0.019)  0.04
Br (0.405, 0.856, 0.379)  0.05
Br (0.642, 0.775, 0.981)  0.04
Cu (0.702, 0.594, 0.769)  0.30
Br (0.095, 0.621, 0.144)  0.05
Br (0.142, 0.981, 0.775)  0.04
Na (0.750, 0.088, 0.912)  0.00
Br (0.122, 0.287, 0.448)  0.07
Br (0.878, 0.713, 0.552)  0.07
Br (0.858, 0.019, 0.225)  0.04
Na (0.250, 0.912, 0.088)  0.00
Br (0.622, 0.448, 0.287)  0.07
Cu (0.798, 0.231, 0.406)  0.30
Br (0.905, 0.379, 0.856)  0.05
Br (0.595, 0.144, 0.621)  0.05
Br (0.378, 0.552, 0.713)  0.07
Cu (0.202, 0.769, 0.594)  0.30

Summary:
Fermi-level density of states: 10.80 states/eV/f.u.
Energy relative to the elements, uncorrected: -858 meV/atom
Volume: 27.42 Å³/atom
Mass density: 3.96 g/cm³

=====

Total magnetic moment, record by record: 0.228; 0.000; 0.000; 0.000; 0.097; 0.081; 0.000; 0.000; 0.020; 0.019; 0.000; 0.000; 0.174; 0.176; 0.000; 0.000; 0.073; 0.225; 1.000; 0.103 μB per atom